Here is an optimized crystal structure of CoReOsSeO from Alexandria. Energies are from PBE+U.

Unit cell a=2.8796 b=2.9943 c=16.2463 alpha=90.00 beta=90.00 gamma=90.00
Last column: nearest neighbours and their distance in Å.
Sites, in units of the cell vectors:
Co  0.5000  0.0000  0.2524  1 O 1.95
Co  0.5000  0.5000  0.7524  1 O 1.95
Re  0.0000  0.0000  0.0445  2 O 2.03
Re  0.0000  0.5000  0.5445  2 O 2.03
Os  0.5000  0.0000  0.4450  4 Re 2.63, 4 Se 2.87, 2 Os 2.88
Os  0.5000  0.5000  0.9450  4 Re 2.63, 4 Se 2.87, 2 Os 2.88
Se  0.0000  0.0000  0.8231  4 Co 2.37
Se  0.0000  0.5000  0.3231  4 Co 2.37
O  0.5000  0.0000  0.1323  1 Co 1.95, 2 Re 2.03
O  0.5000  0.5000  0.6323  1 Co 1.95, 2 Re 2.03

Summary:
Excess energy over the best structure of this formula in the dataset ... 0.136 eV/atom